An optimized crystal structure of ZrMoO2. Source: the Alexandria database, functional GGA+U.

Calculated values
VASP energy   -8.1847 eV per atom

```
ZrMoO2
1.0
1.734 1.001 5.948
-1.734 1.001 5.948
0.000 -2.002 5.948
Zr Mo O
1 1 2
direct
0.000 0.000 0.000 Zr
0.500 0.500 0.500 Mo
0.380 0.380 0.380 O
0.620 0.620 0.620 O
```